<i>
This record from Alexandria describes crystalline KNaPb at its relaxed geometry. The functional is PBE.

a = 5.8095 Å, b = 5.8095 Å, c = 3.5550 Å
α = 90.00°, β = 90.00°, γ = 120.00°
With the nearest neighbours (Å) after each atom.
Space group P3m1 (No. 156)
Inequivalent atoms, fractional coordinates:
1 K 0.0000 0.0000 0.0000 x1  3 Na 3.54, 2 K 3.56, 6 Pb 3.69-3.91
2 Na 0.3333 0.6667 0.3197 x1  3 Pb 3.47, 3 K 3.54, 2 Na 3.56
3 Pb 0.6667 0.3333 0.5650 x1  3 Na 3.47, 2 Pb 3.56, 3 K 3.69

<ii>
This record from Alexandria describes crystalline KNaPb at its relaxed geometry. The functional is PBE.

a = 10.9951 Å, b = 7.1104 Å, c = 11.7180 Å
α = 90.00°, β = 90.00°, γ = 90.00°
With the nearest neighbours (Å) after each atom.
Space group Amm2 (No. 38)
Inequivalent atoms, fractional coordinates:
1 K 0.1686 0.0000 0.0000 x4  1 Na 3.63, 1 K 3.71, 6 Pb 3.85-4.02
2 K 0.3045 0.0000 0.3475 x4  5 Pb 3.84-4.16, 7 Na 4.00-4.17, 3 K 4.25-4.30
3 Na 0.2373 0.0000 0.6974 x4  4 Pb 3.34-3.36, 1 K 3.63, 2 Na 3.63
4 Na 0.5000 0.2462 0.0913 x4  2 Pb 3.42-3.44, 4 Na 3.50-3.63
5 Pb 0.0000 0.0000 0.5195 x2  2 Na 3.34, 4 Pb 3.42-3.45
6 Pb 0.0000 0.2172 0.2560 x4  3 Pb 3.09-3.45, 2 Na 3.36
7 Pb 0.5000 0.0000 0.8409 x2  6 Na 3.34-3.44

<iii>
This record from Alexandria describes crystalline KNaPb at its relaxed geometry. The functional is PBE.

a = 8.8327 Å, b = 11.4462 Å, c = 5.5384 Å
α = 90.00°, β = 90.00°, γ = 90.00°
With the nearest neighbours (Å) after each atom.
Space group Cmmm (No. 65)
Inequivalent atoms, fractional coordinates:
1 K 0.0000 0.2077 0.0000 x4  3 Na 3.35-3.65
2 Na 0.0000 0.0000 0.5000 x2  2 Pb 2.95
3 Na 0.0000 0.5000 0.0000 x2  4 Pb 3.14, 2 K 3.35
4 Pb 0.1665 0.5000 0.5000 x4  1 Pb 2.94, 3 Na 2.95-3.14

Unit: eV/atom. Relative energies: <i> 0.033; <ii> 0.000; <iii> 0.204.

<i>
This record from Alexandria describes crystalline KNa6Pb2 at its relaxed geometry. The functional is PBE.

a = 9.6933 Å, b = 5.5990 Å, c = 10.4350 Å
α = 90.00°, β = 90.08°, γ = 90.00°
With the nearest neighbours (Å) after each atom.
Space group C2/m (No. 12)
Inequivalent atoms, fractional coordinates:
1 K 0.0000 0.0000 0.0000 x2  8 Na 3.42-3.49
2 Na 0.0007 0.0000 0.3273 x4  3 Pb 3.36, 1 K 3.42, 4 Na 3.43-3.60
3 Na 0.1671 0.5000 0.1253 x4  1 Na 3.26, 3 Pb 3.45, 3 K 3.48-3.49
4 Na 0.1668 0.5000 0.4376 x4  7 Na 3.26-3.49, 1 Pb 3.36
5 Pb 0.1660 0.5000 0.7595 x4  7 Na 3.36-3.45

<ii>
This record from Alexandria describes crystalline KNa6Pb2 at its relaxed geometry. The functional is PBE.

a = 5.6304 Å, b = 7.2437 Å, c = 15.1906 Å
α = 90.00°, β = 90.00°, γ = 90.00°
With the nearest neighbours (Å) after each atom.
Space group Immm (No. 71)
Inequivalent atoms, fractional coordinates:
1 K 0.0000 0.0000 0.0000 x2  4 Na 3.54
2 Na 0.0000 0.2029 0.5000 x4  3 Na 2.94-3.12
3 Na 0.0000 0.2386 0.2953 x8  4 Na 3.12-3.46, 1 Pb 3.41
4 Pb 0.0000 0.5000 0.1089 x4  1 Pb 3.31, 10 Na 3.41-3.61

Unit: eV/atom. Relative energies: <i> 0.000; <ii> 0.081.

<i>
This record from Alexandria describes crystalline K2NaPb2 at its relaxed geometry. The functional is PBE.

a = 10.4248 Å, b = 10.4248 Å, c = 3.6643 Å
α = 90.00°, β = 90.00°, γ = 90.00°
With the nearest neighbours (Å) after each atom.
Space group P4/mbm (No. 127)
Inequivalent atoms, fractional coordinates:
1 K 0.1899 0.3101 0.0000 x4  6 Pb 3.53-3.69, 2 K 3.66, 2 Na 3.79
2 Na 0.0000 0.0000 0.0000 x2  2 Na 3.66, 4 K 3.79
3 Pb 0.1051 0.6051 0.5000 x4  1 Pb 3.10

<ii>
This record from Alexandria describes crystalline K2NaPb2 at its relaxed geometry. The functional is PBE.

a = 4.5483 Å, b = 4.5483 Å, c = 22.3401 Å
α = 90.00°, β = 90.00°, γ = 90.00°
With the nearest neighbours (Å) after each atom.
Space group I4/mmm (No. 139)
Inequivalent atoms, fractional coordinates:
1 K 0.0000 0.0000 0.1143 x4  4 Pb 3.79, 4 Na 4.11
2 Na 0.0000 0.0000 0.5000 x2  8 K 4.11, 4 Na 4.55
3 Pb 0.0000 0.5000 0.2500 x4  4 Pb 3.22

Unit: eV/atom. Relative energies: <i> 0.000; <ii> 0.045.

<i>
This record from Alexandria describes crystalline KNa2Pb2 at its relaxed geometry. The functional is PBE.

a = 11.2198 Å, b = 5.2764 Å, c = 6.2638 Å
α = 90.00°, β = 113.98°, γ = 90.00°
With the nearest neighbours (Å) after each atom.
Space group C2/m (No. 12)
Inequivalent atoms, fractional coordinates:
1 K 0.0000 0.0000 0.0000 x2  6 Na 3.54-3.93, 4 Pb 3.68
2 Na 0.1174 0.5000 0.7601 x4  1 Na 3.25, 5 Pb 3.30-3.63, 2 K 3.54
3 Pb 0.2251 0.5000 0.3425 x4  2 Pb 3.20, 4 Na 3.30-3.38

<ii>
This record from Alexandria describes crystalline KNa2Pb2 at its relaxed geometry. The functional is PBE.

a = 9.4135 Å, b = 9.4135 Å, c = 3.7763 Å
α = 90.00°, β = 90.00°, γ = 90.00°
With the nearest neighbours (Å) after each atom.
Space group P4/mbm (No. 127)
Inequivalent atoms, fractional coordinates:
1 K 0.0000 0.0000 0.0000 x2  4 Pb 3.76, 2 K 3.78, 8 Na 3.96
2 Na 0.1735 0.3265 0.5000 x4  6 Pb 3.36-3.37
3 Pb 0.1181 0.6181 0.0000 x4  1 Pb 3.14, 6 Na 3.36-3.37

Unit: eV/atom. Relative energies: <i> 0.008; <ii> 0.000.

<i>
This record from Alexandria describes crystalline K2Na2Pb at its relaxed geometry. The functional is PBE.

a = 10.1968 Å, b = 5.8927 Å, c = 7.2224 Å
α = 90.00°, β = 118.15°, γ = 90.00°
With the nearest neighbours (Å) after each atom.
Space group C2/m (No. 12)
Inequivalent atoms, fractional coordinates:
1 K 0.2047 0.0000 0.1133 x4  1 Na 3.32, 3 K 3.69-3.70
2 Na 0.1221 0.5000 0.3651 x4  1 K 3.32, 3 Pb 3.50-3.51
3 Pb 0.0000 0.0000 0.5000 x2  6 Na 3.50-3.51, 2 K 3.91

<ii>
This record from Alexandria describes crystalline K2Na2Pb at its relaxed geometry. The functional is PBE.

a = 4.4452 Å, b = 4.4452 Å, c = 23.0194 Å
α = 90.00°, β = 90.00°, γ = 90.00°
With the nearest neighbours (Å) after each atom.
Space group I4/mmm (No. 139)
Inequivalent atoms, fractional coordinates:
1 K 0.0000 0.0000 0.0916 x4  4 Pb 3.78, 1 K 4.22
2 Na 0.0000 0.5000 0.2500 x4  4 Na 3.14
3 Pb 0.0000 0.0000 0.5000 x2  8 K 3.78

Unit: eV/atom. Relative energies: <i> 0.000; <ii> 0.153.

<i>
This record from Alexandria describes crystalline K2Na2Pb at its relaxed geometry. The functional is PBE.

a = 8.3532 Å, b = 8.3532 Å, c = 6.1089 Å
α = 90.00°, β = 90.00°, γ = 90.00°
With the nearest neighbours (Å) after each atom.
Space group P4/mbm (No. 127)
Inequivalent atoms, fractional coordinates:
1 K 0.1904 0.3096 0.0000 x4  2 Na 3.58
2 Na 0.1511 0.6511 0.5000 x4  2 Pb 3.18
3 Pb 0.0000 0.0000 0.5000 x2  4 Na 3.18

<ii>
This record from Alexandria describes crystalline K2Na2Pb at its relaxed geometry. The functional is PBE.

a = 9.4886 Å, b = 9.4886 Å, c = 4.8148 Å
α = 90.00°, β = 90.00°, γ = 90.00°
With the nearest neighbours (Å) after each atom.
Space group P4/mbm (No. 127)
Inequivalent atoms, fractional coordinates:
1 K 0.1432 0.3568 0.0000 x4  6 Na 3.45-3.85, 2 Pb 3.65, 1 K 3.84
2 Na 0.1722 0.6722 0.5000 x4  6 K 3.45-3.85
3 Pb 0.0000 0.0000 0.0000 x2  4 K 3.65

<iii>
This record from Alexandria describes crystalline K2Na2Pb at its relaxed geometry. The functional is PBE.

a = 6.3991 Å, b = 6.3991 Å, c = 21.9074 Å
α = 90.00°, β = 90.00°, γ = 90.00°
With the nearest neighbours (Å) after each atom.
Space group I4_1/amd (No. 141, origin choice 2)
Inequivalent atoms, fractional coordinates:
1 K 0.0000 0.2500 0.0580 x8  3 Na 3.45-3.79, 2 Pb 3.52
2 Na 0.0000 0.2500 0.2156 x8  3 K 3.45-3.79, 3 Pb 3.49-3.76, 2 Na 3.54
3 Pb 0.0000 0.2500 0.3750 x4  6 Na 3.49-3.76, 4 K 3.52

Unit: eV/atom. Relative energies: <i> 0.006; <ii> 0.168; <iii> 0.000.

<i>
This record from Alexandria describes crystalline KNa3Pb2 at its relaxed geometry. The functional is PBE.

a = 16.9621 Å, b = 8.7701 Å, c = 6.3107 Å
α = 90.00°, β = 90.00°, γ = 90.00°
With the nearest neighbours (Å) after each atom.
Space group Cmcm (No. 63)
Inequivalent atoms, fractional coordinates:
1 K 0.0000 0.1834 0.2500 x4  3 Na 3.58-3.87
2 Na 0.0000 0.3757 0.7500 x4  4 Pb 3.26, 2 K 3.58
3 Na 0.1969 0.1705 0.7500 x8  4 Pb 3.31-3.37
4 Pb 0.1557 0.5000 0.0000 x8  2 Pb 3.16, 6 Na 3.26-3.37

<ii>
This record from Alexandria describes crystalline KNa3Pb2 at its relaxed geometry. The functional is PBE.

a = 5.9114 Å, b = 18.4584 Å, c = 3.5836 Å
α = 90.00°, β = 90.00°, γ = 90.00°
With the nearest neighbours (Å) after each atom.
Space group Pmmn (No. 59, origin choice 2)
Inequivalent atoms, fractional coordinates:
1 K 0.2500 0.2500 0.0046 x2  4 Na 3.45-3.46, 2 K 3.58
2 Na 0.2500 0.0545 0.5000 x4  6 Pb 3.40-3.57, 4 Na 3.58
3 Na 0.2500 0.7500 0.4986 x2  4 Pb 3.26-3.27, 4 K 3.45-3.46, 2 Na 3.58
4 Pb 0.2500 0.6022 0.9996 x4  8 Na 3.26-3.57, 2 Pb 3.58

Unit: eV/atom. Relative energies: <i> 0.045; <ii> 0.000.

<i>
This record from Alexandria describes crystalline KNa4Pb2 at its relaxed geometry. The functional is PBE.

a = 5.6985 Å, b = 16.0162 Å, c = 5.7365 Å
α = 90.00°, β = 90.00°, γ = 90.00°
With the nearest neighbours (Å) after each atom.
Space group Cmmm (No. 65)
Inequivalent atoms, fractional coordinates:
1 K 0.0000 0.0000 0.0000 x2  8 Na 4.00-4.13, 8 Pb 4.31
2 Na 0.0000 0.1858 0.5000 x4  3 Pb 3.22-3.55, 2 Na 3.51
3 Na 0.0000 0.3244 0.0000 x4  2 Pb 3.16
4 Pb 0.0000 0.4073 0.5000 x4  1 Pb 2.97, 4 Na 3.16-3.22

<ii>
This record from Alexandria describes crystalline KNa4Pb2 at its relaxed geometry. The functional is PBE.

a = 5.0082 Å, b = 19.6839 Å, c = 6.2945 Å
α = 90.00°, β = 90.00°, γ = 90.00°
With the nearest neighbours (Å) after each atom.
Space group Cmmm (No. 65)
Inequivalent atoms, fractional coordinates:
1 K 0.0000 0.0000 0.0000 x2  4 Na 3.80
2 Na 0.0000 0.1082 0.5000 x4  2 Pb 3.13
3 Na 0.0000 0.3218 0.0000 x4  2 Pb 3.19
4 Pb 0.0000 0.2961 0.5000 x4  2 Pb 3.09, 4 Na 3.13-3.19

Unit: eV/atom. Relative energies: <i> 0.000; <ii> 0.127.

<i>
This record from Alexandria describes crystalline K2Na5Pb2 at its relaxed geometry. The functional is PBE.

a = 12.5968 Å, b = 4.9101 Å, c = 11.0131 Å
α = 90.00°, β = 109.48°, γ = 90.00°
With the nearest neighbours (Å) after each atom.
Space group C2/m (No. 12)
Inequivalent atoms, fractional coordinates:
1 K 0.0030 0.0000 0.1805 x4  4 Na 3.53-3.71, 3 Pb 3.76-3.83, 1 K 3.95
2 Na 0.0000 0.0000 0.5000 x2  2 K 3.53, 4 Pb 3.60, 6 Na 3.67-3.84
3 Na 0.1913 0.5000 0.4019 x4  3 Na 3.28-3.64, 3 Pb 3.45-3.51
4 Na 0.2047 0.5000 0.0770 x4  2 Pb 3.37, 3 Na 3.39-3.64, 1 K 3.54
5 Pb 0.1746 0.5000 0.7135 x4  7 Na 3.37-3.60, 2 K 3.76

<ii>
This record from Alexandria describes crystalline K2Na5Pb2 at its relaxed geometry. The functional is PBE.

a = 17.1702 Å, b = 10.5328 Å, c = 8.3405 Å
α = 90.00°, β = 90.00°, γ = 90.00°
With the nearest neighbours (Å) after each atom.
Space group Ima2 (No. 46)
Inequivalent atoms, fractional coordinates:
1 K 0.1211 0.0508 0.0000 x8  2 Pb 3.50-3.55, 1 Na 3.60
2 Na 0.0673 0.7003 0.8631 x8  3 Pb 3.46-3.76, 1 Na 3.67
3 Na 0.1439 0.1097 0.4871 x8  2 Pb 3.09-3.10
4 Na 0.2500 0.6637 0.1445 x4  2 Pb 3.07-3.14
5 Pb 0.0000 0.0000 0.6611 x4  4 Na 3.09-3.46
6 Pb 0.2500 0.5682 0.7883 x4  4 Na 3.07-3.14

Unit: eV/atom. Relative energies: <i> 0.000; <ii> 0.047.

<i>
This record from Alexandria describes crystalline KNa6Pb at its relaxed geometry. The functional is PBE.

a = 5.9237 Å, b = 7.6449 Å, c = 6.3837 Å
α = 90.00°, β = 90.00°, γ = 90.00°
With the nearest neighbours (Å) after each atom.
Space group Pmm2 (No. 25)
Inequivalent atoms, fractional coordinates:
1 K 0.0000 0.0000 0.0000 x1  12 Na 3.83-3.87
2 Na 0.0000 0.2836 0.4975 x2  4 Na 3.31-3.64, 2 Pb 3.57
3 Na 0.0000 0.5000 0.0394 x1  6 Na 3.36-3.63, 2 Pb 3.47
4 Na 0.5000 0.0000 0.3859 x1  6 Na 3.58-3.74, 2 Pb 3.84, 2 K 3.85
5 Na 0.5000 0.2881 0.8288 x2  2 Na 3.24-3.58, 2 Pb 3.54-3.62
6 Pb 0.5000 0.5000 0.3220 x1  12 Na 3.47-3.84

<ii>
This record from Alexandria describes crystalline KNa6Pb at its relaxed geometry. The functional is PBE.

a = 8.6699 Å, b = 8.6699 Å, c = 15.3311 Å
α = 90.00°, β = 90.00°, γ = 120.00°
With the nearest neighbours (Å) after each atom.
Space group R-3m (No. 166, hexagonal axes)
Inequivalent atoms, fractional coordinates:
1 K 0.0000 0.0000 0.0000 x3  6 Na 4.09
2 Na 0.0669 0.5334 0.8993 x18  1 Pb 3.17, 3 Na 3.25-3.47
3 Pb 0.0000 0.0000 0.5000 x3  6 Na 3.17

Unit: eV/atom. Relative energies: <i> 0.000; <ii> 0.074.

<i>
This record from Alexandria describes crystalline KNaPdPb at its relaxed geometry. The functional is PBE.

a = 7.4294 Å, b = 7.4294 Å, c = 7.4294 Å
α = 90.00°, β = 90.00°, γ = 90.00°
With the nearest neighbours (Å) after each atom.
Space group F-43m (No. 216)
Inequivalent atoms, fractional coordinates:
1 K 0.0000 0.0000 0.0000 x4  4 Na 3.22, 4 Pd 3.22
2 Na 0.2500 0.2500 0.7500 x4  4 Pb 3.22, 4 K 3.22
3 Pd 0.2500 0.2500 0.2500 x4  4 Pb 3.22, 4 K 3.22
4 Pb 0.0000 0.0000 0.5000 x4  4 Na 3.22, 4 Pd 3.22

<ii>
This record from Alexandria describes crystalline KNaPdPb at its relaxed geometry. The functional is PBE.

a = 4.8200 Å, b = 4.8200 Å, c = 18.9727 Å
α = 90.00°, β = 90.00°, γ = 120.00°
With the nearest neighbours (Å) after each atom.
Space group R3m (No. 160, hexagonal axes)
Inequivalent atoms, fractional coordinates:
1 K 0.0000 0.0000 0.0000 x3  3 Pb 3.60, 3 Pd 3.71, 4 Na 3.75-3.81
2 Na 0.0000 0.0000 0.7990 x3  3 Pd 3.09, 3 Pb 3.18
3 Pd 0.0000 0.0000 0.5370 x3  3 Pb 2.79, 3 Na 3.09
4 Pb 0.0000 0.0000 0.2133 x3  3 Pd 2.79

Unit: eV/atom. Relative energies: <i> 0.129; <ii> 0.000.